No. 1
Material: Cs3PaTl2O8
Method: DFT, GGA-PBE
State: relaxed

Formation energy (no corrections) (meV/atom): -1492
Crystal system: trigonal

Cell lengths 6.456, 6.456, 8.685 Å; angles 90.00, 90.00, 120.00 degrees
Fractional positions:
1 O 0.314 0.157 0.644
2 O 0.843 0.157 0.644
3 O 0.686 0.843 0.356
4 O 0.667 0.333 0.994
5 O 0.843 0.686 0.644
6 O 0.157 0.843 0.356
7 O 0.333 0.667 0.006
8 O 0.157 0.314 0.356
9 Cs 0.000 0.000 0.000
10 Cs 0.333 0.667 0.674
11 Cs 0.667 0.333 0.326
12 Pa 0.000 0.000 0.500
13 Tl 0.333 0.667 0.246
14 Tl 0.667 0.333 0.754

---

No. 2
Material: RbTe3H
Method: DFT, GGA-PBE
State: relaxed

Crystal system: trigonal
Energy relative to the lowest polymorph listed for this composition (meV per atom): 0.0

Cell lengths 6.602, 6.602, 6.602 Å; angles 85.59, 85.59, 85.59 degrees
Fractional positions:
1 Te 0.307 0.546 0.780
2 Te 0.780 0.307 0.546
3 Te 0.280 0.046 0.807
4 Te 0.046 0.807 0.280
5 Te 0.546 0.780 0.307
6 Te 0.807 0.280 0.046
7 H 0.044 0.044 0.044
8 H 0.544 0.544 0.544
9 Rb 0.294 0.294 0.294
10 Rb 0.794 0.794 0.794

---

No. 3
Material: BeZnPb
Method: DFT, GGA-PBE
State: relaxed

Crystal system: monoclinic
E_form (eV per atom): 0.208

Cell lengths 4.522, 3.858, 7.628 Å; angles 90.01, 117.62, 90.01 degrees
Fractional positions:
1 Be 0.901 0.231 0.514
2 Be 0.713 0.731 0.577
3 Zn 0.272 0.731 0.659
4 Zn 0.341 0.231 0.432
5 Pb 0.933 0.230 0.882
6 Pb 0.679 0.730 0.209

---

No. 4
Material: NaBe2NbO
Method: DFT, GGA-PBE
State: relaxed

Formation energy (no corrections) (meV/atom): 2150
Crystal system: tetragonal

Cell lengths 3.975, 5.090, 3.975 Å; angles 90.00, 90.00, 90.00 degrees
Fractional positions:
1 Be 0.000 0.000 0.500
2 Be 0.500 0.000 0.000
3 Na 0.000 0.000 0.000
4 Nb 0.000 0.500 0.000
5 O 0.500 0.500 0.500

---

No. 5
Material: Ac4Zn5Ir2
Method: DFT, GGA-PBE
State: relaxed

Crystal system: monoclinic
E_form (eV per atom): -0.376

Cell lengths 4.249, 7.407, 9.421 Å; angles 84.05, 90.00, 90.00 degrees
Fractional positions:
1 Zn 0.000 0.144 0.114
2 Zn 0.000 0.402 0.618
3 Zn 0.000 0.500 0.000
4 Zn 0.000 0.598 0.382
5 Zn 0.000 0.856 0.886
6 Ac 0.500 0.794 0.164
7 Ac 0.500 0.206 0.836
8 Ac 0.500 0.760 0.621
9 Ac 0.500 0.240 0.379
10 Ir 0.000 0.052 0.638
11 Ir 0.000 0.948 0.362

---

No. 6
Material: Tl3InCl4
Method: DFT, GGA-PBE
State: relaxed

Formation energy (no corrections) (meV/atom): -960
Crystal system: orthorhombic

Cell lengths 6.487, 6.531, 12.935 Å; angles 90.00, 90.00, 90.00 degrees
Fractional positions:
1 Tl 0.562 0.752 0.000
2 Tl 0.060 0.751 0.250
3 Tl 0.560 0.249 0.750
4 Tl 0.560 0.249 0.250
5 Tl 0.062 0.248 0.500
6 Tl 0.060 0.751 0.750
7 Cl 0.557 0.759 0.750
8 Cl 0.557 0.759 0.250
9 Cl 0.562 0.191 0.500
10 Cl 0.593 0.239 0.000
11 Cl 0.062 0.809 0.000
12 Cl 0.057 0.241 0.250
13 Cl 0.093 0.761 0.500
14 Cl 0.057 0.241 0.750
15 In 0.063 0.259 0.000
16 In 0.563 0.741 0.500

---

No. 7
Material: Li2ErAlS4
Method: DFT, GGA-PBE
State: relaxed

Formation energy (no corrections) (meV/atom): -1485
Crystal system: orthorhombic

Cell lengths 7.432, 7.432, 7.623 Å; angles 120.84, 120.84, 89.91 degrees
Fractional positions:
1 Al 0.500 0.500 0.500
2 Al 0.000 0.000 0.000
3 S 0.751 0.234 0.993
4 S 0.255 0.245 0.029
5 S 0.745 0.755 0.971
6 S 0.249 0.766 0.007
7 S 0.734 0.251 0.493
8 S 0.745 0.755 0.529
9 S 0.255 0.245 0.471
10 S 0.266 0.749 0.507
11 Er 0.000 0.500 0.000
12 Er 0.000 0.500 0.500
13 Li 0.500 0.500 0.000
14 Li 0.500 0.000 0.000
15 Li 0.000 0.000 0.500
16 Li 0.500 0.000 0.500

---

No. 8
Material: TbAgC2O6
Method: DFT, GGA-PBE
State: relaxed

Formation energy (no corrections) (meV/atom): -1796
Crystal system: monoclinic

Cell lengths 6.445, 6.445, 7.295 Å; angles 111.34, 111.34, 85.66 degrees
Fractional positions:
1 O 0.172 0.285 0.055
2 O 0.482 0.710 0.116
3 O 0.380 0.931 0.731
4 O 0.931 0.380 0.231
5 O 0.710 0.482 0.616
6 O 0.290 0.518 0.384
7 O 0.828 0.715 0.945
8 O 0.285 0.172 0.555
9 O 0.715 0.828 0.445
10 O 0.518 0.290 0.884
11 O 0.069 0.620 0.769
12 O 0.620 0.069 0.269
13 C 0.878 0.606 0.778
14 C 0.606 0.878 0.278
15 C 0.122 0.394 0.222
16 C 0.394 0.122 0.722
17 Ag 0.075 0.925 0.250
18 Ag 0.925 0.075 0.750
19 Tb 0.586 0.414 0.250
20 Tb 0.414 0.586 0.750